Here is a geometry-optimized Eu2ICl structure from the Alexandria database. Energies are from PBE-GGA.

a b c (Å): 4.3260 4.3260 8.0168
angles (deg): 74.35 74.35 60.00
Sites, in units of the cell vectors:
Eu: 0.7342 0.7342 0.7975
Eu: 0.2658 0.2658 0.2025
I: 0.5000 0.5000 0.5000
Cl: 0.0000 0.0000 0.0000

Properties
**Total magnetization**: 3.66 μB per atom
**Space-group type**: R-3m
**ΔE_f (raw)**: -1.3008 eV per atom
**Calculated total energy**: -7.29 eV per atom